(1)
Here is crystalline CsGa3Cl at its relaxed geometry from Alexandria via LeMat-Bulk. Energies are from PBE.

The volume is 279.8 Å³ per cell. The total magnetization comes out at 0.000 μB per formula unit. The polymorph energy (0 for the lowest one) is 78.2 kJ per mole of atoms. For the density, the calculation gives 2.24 Mg/m³.

```
5
Lattice="6.5409 0.0000 0.0000 0.0000 6.5409 0.0000 0.0000 0.0000 6.5409" Properties=species:S:1:pos:R:3 pbc="T T T"
Cs 0.0000 0.0000 0.0000
Ga 0.0000 0.0000 3.2705
Ga 0.0000 3.2705 0.0000
Ga 3.2705 0.0000 0.0000
Cl 3.2705 3.2705 3.2705
```

---

(2)
Here is crystalline NaLiTc2O at its relaxed geometry from Alexandria via LeMat-Bulk. Energies are from PBE.

The volume is 79.2 Å³ per cell. The total magnetization comes out at 1.535 μB per formula unit. Its total energy is -4.08 eV/atom. For the density, the calculation gives 5.07 Mg/m³.

```
5
Lattice="4.0914 0.0000 0.0000 0.0000 4.0914 0.0000 0.0000 0.0000 4.7321" Properties=species:S:1:pos:R:3 pbc="T T T"
Na 0.0000 0.0000 0.0000
Li 0.0000 0.0000 2.3661
Tc 0.0000 2.0457 2.3661
Tc 2.0457 0.0000 2.3661
O 2.0457 2.0457 0.0000
```

---

(3)
Here is crystalline ErTh5Pt6 at its relaxed geometry from Alexandria via LeMat-Bulk. Energies are from PBE.

The volume is 308.3 Å³ per cell. For the calculated formation energy, the calculation gives -1206.0 meV per atom. The total magnetization comes out at 0.000 μB per formula unit. For the density, the calculation gives 13.45 Mg/m³.

```
12
Lattice="3.5846 -6.1655 0.0000 3.5846 6.1655 0.0000 -2.3438 0.0000 6.9747" Properties=species:S:1:pos:R:3 pbc="T T T"
Er 0.0000 0.0000 0.0000
Th 2.4127 4.0890 3.4873
Th 3.5846 2.0570 0.0000
Th 2.4127 0.0000 3.4873
Th 3.5846 -2.0570 0.0000
Th 2.4127 -4.0890 3.4873
Pt 1.2002 2.0379 1.7414
Pt 0.0167 0.0000 5.2325
Pt 1.2002 -2.0379 1.7414
Pt 3.6252 2.0379 5.2333
Pt 4.8087 0.0000 1.7421
Pt 3.6252 -2.0379 5.2333
```

---

(4)
Here is crystalline Al2TlPt at its relaxed geometry from Alexandria via LeMat-Bulk. Energies are from PBE.

The volume is 78.9 Å³ per cell. For the calculated formation energy, the calculation gives -202.2 meV per atom. The total magnetization comes out at 0.000 μB per formula unit. The polymorph energy (0 for the lowest one) is 13.3 kJ per mole of atoms. For the density, the calculation gives 9.54 Mg/m³.

```
4
Lattice="3.6983 0.0000 0.0000 0.0000 4.3634 0.0000 -1.8342 0.0000 4.8904" Properties=species:S:1:pos:R:3 pbc="T T T"
Al 0.0000 0.0000 0.0000
Al 0.0150 2.1817 4.1847
Tl 1.8515 0.0000 2.2614
Pt 0.0029 2.1817 1.1680
```

---

(5)
Here is crystalline FeHgRh at its relaxed geometry from Alexandria via LeMat-Bulk. Energies are from PBE.

The volume is 54.0 Å³ per cell. For the calculated formation energy, the calculation gives 447.9 meV per atom. The total magnetization comes out at 3.643 μB per formula unit. The polymorph energy (0 for the lowest one) is 27.7 kJ per mole of atoms. For the density, the calculation gives 11.05 Mg/m³.

```
3
Lattice="0.0000 3.0000 3.0000 3.0000 0.0000 3.0000 3.0000 3.0000 0.0000" Properties=species:S:1:pos:R:3 pbc="T T T"
Fe 0.0000 0.0000 0.0000
Hg 1.5000 1.5000 1.5000
Rh 4.4999 4.4999 4.4999
```

---

(6)
Here is crystalline PrY2Tc at its relaxed geometry from Alexandria via LeMat-Bulk. Energies are from PBE.

The volume is 115.5 Å³ per cell. For the calculated formation energy, the calculation gives 277.0 meV per atom. The total magnetization comes out at 0.000 μB per formula unit. The polymorph energy (0 for the lowest one) is 30.6 kJ per mole of atoms. For the density, the calculation gives 5.99 Mg/m³.

```
4
Lattice="1.7345 1.0014 11.0780 -1.7345 1.0014 11.0780 0.0000 -2.0029 11.0780" Properties=species:S:1:pos:R:3 pbc="T T T"
Pr 0.0000 0.0000 0.0000
Y 0.0000 0.0000 3.5316
Y 0.0000 0.0000 29.7023
Tc 0.0000 0.0000 16.6170
```

---

> The highest volume belongs to which entry?

ErTh5Pt6